A plane-wave DFT calculation with PBE-GGA was carried out for a geometry-optimized Tb4SbS2N structure.

Unit cell a=7.0913 b=6.3900 c=6.3900 alpha=67.41 beta=56.30 gamma=56.30
With the nearest neighbours (Å) after each atom.
Fractional positions:
Tb 0.4780 0.1534 0.5219  1 N 2.25
Tb 0.8466 0.5219 0.1534  1 N 2.25
Tb 0.1534 0.8466 0.4781  1 N 2.25
Tb 0.5220 0.4781 0.8466  1 N 2.25
N 0.5000 0.5000 0.5000  4 Tb 2.25
S 0.2503 0.2497 0.2497  4 Tb 2.68
S 0.7497 0.7503 0.7503  4 Tb 2.68
Sb 0.0000 0.0000 0.0000  8 Tb 3.25-3.42

## Properties
- E_tot: -6.349 eV/atom
- Raw formation energy: -1446 meV/atom
- Space group: I-42m (121)